DFT (PBE) results for a geometry-optimized Pr2NdHo3Sb6 structure.

Summary:
raw formation energy	-1148	meV per atom
total moment	0.00	μB/cell

Unit cell a=19.4190 b=4.4610 c=8.9080 alpha=90.00 beta=103.10 gamma=90.00
Space group C2/m (No. 12)
One atom of each set of equivalent atoms:
1 Pr 0.1665 0.0000 0.3330 (multiplicity 4)
2 Nd 0.0000 0.5000 0.0000 (multiplicity 2)
3 Ho 0.0000 0.5000 0.5000 (multiplicity 2)
4 Ho 0.1669 0.0000 0.8333 (multiplicity 4)
5 Sb 0.0029 0.0000 0.7447 (multiplicity 4)
6 Sb 0.1640 0.5000 0.5900 (multiplicity 4)
7 Sb 0.1688 0.5000 0.0760 (multiplicity 4)

=====

DFT (PBE) results for a geometry-optimized PrNd2Ho3Sb6 structure.

Summary:
raw formation energy	-1148	meV per atom
total moment	0.00	μB/cell

Unit cell a=19.3950 b=4.4548 c=8.8985 alpha=90.00 beta=103.13 gamma=90.00
Space group C2/m (No. 12)
One atom of each set of equivalent atoms:
1 Pr 0.0000 0.0000 0.0000 (multiplicity 2)
2 Nd 0.1668 0.5000 0.3334 (multiplicity 4)
3 Ho 0.0000 0.0000 0.5000 (multiplicity 2)
4 Ho 0.1665 0.5000 0.8331 (multiplicity 4)
5 Sb 0.0021 0.5000 0.7429 (multiplicity 4)
6 Sb 0.1644 0.0000 0.5888 (multiplicity 4)
7 Sb 0.1695 0.0000 0.0779 (multiplicity 4)

=====

DFT (PBE) results for a geometry-optimized PrNd5Ho2Sc structure.

Summary:
total moment	0.00	μB/cell

Unit cell a=5.3855 b=22.0118 c=10.3138 alpha=90.00 beta=90.00 gamma=90.00
Space group Cmc2_1 (No. 36)
One atom of each set of equivalent atoms:
1 Pr 0.0000 0.1010 0.0000 (multiplicity 4)
2 Nd 0.0000 0.9998 0.2498 (multiplicity 4)
3 Nd 0.0000 0.1259 0.5002 (multiplicity 4)
4 Nd 0.0000 0.2212 0.1894 (multiplicity 4)
5 Nd 0.0000 0.2222 0.8131 (multiplicity 4)
6 Nd 0.0000 0.4977 0.0000 (multiplicity 4)
7 Ho 0.0000 0.3830 0.2508 (multiplicity 4)
8 Ho 0.0000 0.3838 0.7491 (multiplicity 4)
9 Sc 0.0000 0.2837 0.5012 (multiplicity 4)

=====

DFT (PBE) results for a geometry-optimized PrNd2HoSc structure.

Summary:
total moment	0.00	μB/cell

Unit cell a=6.2989 b=7.7678 c=6.7130 alpha=90.00 beta=90.00 gamma=90.00
Space group Pmma (No. 51)
One atom of each set of equivalent atoms:
1 Pr 0.2500 0.0000 0.1971 (multiplicity 2)
2 Nd 0.2500 0.2081 0.7202 (multiplicity 4)
3 Ho 0.2500 0.5000 0.0953 (multiplicity 2)
4 Sc 0.0000 0.5000 0.5000 (multiplicity 2)

=====

DFT (PBE) results for a geometry-optimized Pr4NdHo2Sc structure.

Summary:
total moment	0.00	μB/cell

Unit cell a=5.9414 b=5.9414 c=7.5177 alpha=90.00 beta=90.00 gamma=90.00
Space group P4/mmm (No. 123)
One atom of each set of equivalent atoms:
1 Pr 0.0000 0.5000 0.2460 (multiplicity 4)
2 Nd 0.0000 0.0000 0.0000 (multiplicity 1)
3 Ho 0.0000 0.0000 0.5000 (multiplicity 1)
4 Ho 0.5000 0.5000 0.5000 (multiplicity 1)
5 Sc 0.5000 0.5000 0.0000 (multiplicity 1)

=====

DFT (PBE) results for a geometry-optimized Pr2NdHo4Sc structure.

Summary:
total moment	2.34	μB/cell

Unit cell a=13.5868 b=13.1346 c=6.7731 alpha=90.00 beta=119.88 gamma=90.00
Space group C2/c (No. 15)
One atom of each set of equivalent atoms:
1 Pr 0.0000 0.0000 0.0000 (multiplicity 4)
2 Pr 0.2500 0.2500 0.0000 (multiplicity 4)
3 Nd 0.2500 0.2500 0.5000 (multiplicity 4)
4 Ho 0.0000 0.2652 0.0002 (multiplicity 8)
5 Ho 0.2329 0.4999 0.4817 (multiplicity 8)
6 Sc 0.0000 0.5000 0.0000 (multiplicity 4)

=====

DFT (PBE) results for a geometry-optimized PrNdHoSc structure.

Summary:
total moment	0.00	μB/cell

Unit cell a=12.2736 b=5.7313 c=3.8106 alpha=90.00 beta=107.98 gamma=90.00
Space group Cm (No. 8)
One atom of each set of equivalent atoms:
1 Pr 0.0000 0.0000 0.0000 (multiplicity 2)
2 Nd 0.2750 0.0000 0.7874 (multiplicity 2)
3 Ho 0.0400 0.5000 0.5420 (multiplicity 2)
4 Sc 0.2665 0.5000 0.2718 (multiplicity 2)

=====

DFT (PBE) results for a geometry-optimized Pr2NdHo5Sc structure.

Summary:
total moment	0.00	μB/cell

Unit cell a=5.6060 b=19.7486 c=10.4909 alpha=90.00 beta=90.00 gamma=90.00
Space group Cmc2_1 (No. 36)
One atom of each set of equivalent atoms:
1 Pr 0.0000 0.1127 0.0000 (multiplicity 4)
2 Pr 0.0000 0.1152 0.4186 (multiplicity 4)
3 Nd 0.0000 0.4133 0.1442 (multiplicity 4)
4 Ho 0.0000 0.0170 0.7055 (multiplicity 4)
5 Ho 0.0000 0.2769 0.0085 (multiplicity 4)
6 Ho 0.0000 0.2966 0.3890 (multiplicity 4)
7 Ho 0.0000 0.3751 0.7040 (multiplicity 4)
8 Ho 0.0000 0.4825 0.4248 (multiplicity 4)
9 Sc 0.0000 0.1973 0.6998 (multiplicity 4)

=====

DFT (PBE) results for a geometry-optimized PrNd2Ho5Sc structure.

Summary:
total moment	0.00	μB/cell

Unit cell a=5.6034 b=19.7396 c=10.4720 alpha=90.00 beta=90.00 gamma=90.00
Space group Cmc2_1 (No. 36)
One atom of each set of equivalent atoms:
1 Pr 0.0000 0.0864 0.0000 (multiplicity 4)
2 Nd 0.0000 0.3850 0.2756 (multiplicity 4)
3 Nd 0.0000 0.3876 0.8571 (multiplicity 4)
4 Ho 0.0000 0.0180 0.2818 (multiplicity 4)
5 Ho 0.0000 0.1252 0.5611 (multiplicity 4)
6 Ho 0.0000 0.2035 0.2469 (multiplicity 4)
7 Ho 0.0000 0.2232 0.8657 (multiplicity 4)
8 Ho 0.0000 0.4827 0.5627 (multiplicity 4)
9 Sc 0.0000 0.3028 0.5568 (multiplicity 4)

=====

DFT (PBE) results for a geometry-optimized PrNdHoSc structure.

Summary:
total moment	0.00	μB/cell

Unit cell a=7.9742 b=7.9742 c=7.9742 alpha=90.00 beta=90.00 gamma=90.00
Space group F-43m (No. 216)
One atom of each set of equivalent atoms:
1 Pr 0.0000 0.0000 0.0000 (multiplicity 4)
2 Nd 0.0000 0.0000 0.5000 (multiplicity 4)
3 Ho 0.2500 0.2500 0.2500 (multiplicity 4)
4 Sc 0.2500 0.2500 0.7500 (multiplicity 4)

=====

DFT (PBE) results for a geometry-optimized Pr5NdHo2Sc structure.

Summary:
total moment	0.00	μB/cell

Unit cell a=5.4167 b=22.0493 c=10.3695 alpha=90.00 beta=90.00 gamma=90.00
Space group Cmc2_1 (No. 36)
One atom of each set of equivalent atoms:
1 Pr 0.0000 0.9998 0.0000 (multiplicity 4)
2 Pr 0.0000 0.1265 0.2504 (multiplicity 4)
3 Pr 0.0000 0.2212 0.9393 (multiplicity 4)
4 Pr 0.0000 0.2222 0.5636 (multiplicity 4)
5 Pr 0.0000 0.4981 0.7502 (multiplicity 4)
6 Nd 0.0000 0.1013 0.7502 (multiplicity 4)
7 Ho 0.0000 0.3834 0.0025 (multiplicity 4)
8 Ho 0.0000 0.3843 0.4978 (multiplicity 4)
9 Sc 0.0000 0.2853 0.2513 (multiplicity 4)

=====

DFT (PBE) results for a geometry-optimized PrNd4HoSe8 structure.

Summary:
raw formation energy	-1724	meV per atom
total moment	0.03	μB/cell

Unit cell a=8.6630 b=8.6630 c=21.2466 alpha=90.00 beta=90.00 gamma=120.00
Space group R3m (No. 160, hexagonal axes)
One atom of each set of equivalent atoms:
1 Pr 0.0000 0.0000 0.0000 (multiplicity 3)
2 Nd 0.0000 0.0000 0.6234 (multiplicity 3)
3 Nd 0.1690 0.3379 0.8309 (multiplicity 9)
4 Ho 0.0000 0.0000 0.3730 (multiplicity 3)
5 Se 0.0000 0.0000 0.2446 (multiplicity 3)
6 Se 0.0000 0.0000 0.7566 (multiplicity 3)
7 Se 0.0077 0.5038 0.7500 (multiplicity 9)
8 Se 0.1770 0.3540 0.5782 (multiplicity 9)

=====

Here are the calculated VASP energy numbers, same order: -66.57, -66.56, -42.93, -24.28, -38.54, -35.73, -20.07, -42.12, -42.08, -20.07, -43.01, -80.44 (eV per formula unit).